# Ca2CrI2, PBEsol geometry, DFT SCAN
data_Ca2CrI2
_cell_length_a 6.2040
_cell_length_b 6.2040
_cell_length_c 8.5897
_cell_angle_alpha 90.00
_cell_angle_beta 90.00
_cell_angle_gamma 90.00
_space_group_name_H-M_alt 'I 4/m m m'
_space_group_IT_number 139
_space_group_name_Hall '-I 4 2'
loop_
_atom_site_label
_atom_site_type_symbol
_atom_site_fract_x
_atom_site_fract_y
_atom_site_fract_z
Ca1 Ca 0.0000 0.5000 0.2500
Cr1 Cr 0.0000 0.0000 0.0000
I1 I 0.0000 0.0000 0.3002
# Energy relative to the elements, uncorrected: -0.328 eV/atom
# E: -225.7 eV for the cell shown
# Total moment: 6.7 μB per cell